[1]
# Mg3AlTe

A relaxed Mg3AlTe crystal (GGA-PBE, the Alexandria database).

Cell lengths 5.436, 5.436, 5.436 Å; angles 90.00, 90.00, 90.00 degrees
Positions (direct):
Mg1 0.000 0.000 0.500
Mg2 0.000 0.500 0.000
Mg3 0.500 0.000 0.000
Al1 0.500 0.500 0.500
Te1 0.000 0.000 0.000

Summary:
**Magnetic moment**: 0.00 μB/cell
**Volume**: 160.6 Å³ per cell
**ΔE_f (raw)**: 0.4848 eV per atom

---

[2]
# Mg3AlTe4

A relaxed Mg3AlTe4 crystal (GGA-PBE, the Alexandria database).

Cell lengths 7.979, 7.979, 7.979 Å; angles 131.49, 131.49, 71.03 degrees
Positions (direct):
Mg1 0.000 0.000 0.000
Mg2 0.250 0.750 0.500
Mg3 0.750 0.250 0.500
Al1 0.500 0.500 0.000
Te1 0.126 0.126 0.499
Te2 0.373 0.874 0.000
Te3 0.627 0.627 0.501
Te4 0.874 0.373 0.000

Summary:
**Magnetic moment**: 0.00 μB/cell
**Volume**: 279.1 Å³ per cell
**ΔE_f (raw)**: -0.6147 eV per atom

---

[3]
# MgAlTe3

A relaxed MgAlTe3 crystal (GGA-PBE, the Alexandria database).

Cell lengths 5.496, 5.496, 5.496 Å; angles 90.00, 90.00, 90.00 degrees
Positions (direct):
Mg1 0.000 0.000 0.000
Al1 0.500 0.500 0.500
Te1 0.000 0.000 0.500
Te2 0.000 0.500 0.000
Te3 0.500 0.000 0.000

Summary:
**Magnetic moment**: 0.00 μB/cell
**Volume**: 166.0 Å³ per cell
**ΔE_f (raw)**: 0.2909 eV per atom

---

[4]
# MgAl3Te

A relaxed MgAl3Te crystal (GGA-PBE, the Alexandria database).

Cell lengths 5.171, 5.171, 5.171 Å; angles 90.00, 90.00, 90.00 degrees
Positions (direct):
Mg1 0.000 0.000 0.000
Al1 0.000 0.000 0.500
Al2 0.000 0.500 0.000
Al3 0.500 0.000 0.000
Te1 0.500 0.500 0.500

Summary:
**Magnetic moment**: 0.00 μB/cell
**Volume**: 138.3 Å³ per cell
**ΔE_f (raw)**: 0.6543 eV per atom

---

[5]
# Mg16Al12Te

A relaxed Mg16Al12Te crystal (GGA-PBE, the Alexandria database).

Cell lengths 9.084, 9.084, 9.084 Å; angles 108.66, 108.66, 108.66 degrees
Positions (direct):
Mg1 0.000 0.000 0.000
Mg2 0.287 0.596 0.596
Mg3 0.301 0.301 0.695
Mg4 0.301 0.695 0.301
Mg5 0.391 0.665 0.987
Mg6 0.391 0.987 0.665
Mg7 0.596 0.287 0.596
Mg8 0.596 0.596 0.287
Mg9 0.639 0.988 0.988
Mg10 0.665 0.391 0.987
Mg11 0.665 0.987 0.391
Mg12 0.695 0.301 0.301
Mg13 0.987 0.391 0.665
Mg14 0.987 0.665 0.391
Mg15 0.988 0.639 0.988
Mg16 0.988 0.988 0.639
Al1 0.163 0.350 0.973
Al2 0.163 0.973 0.350
Al3 0.174 0.804 0.804
Al4 0.350 0.163 0.973
Al5 0.350 0.973 0.163
Al6 0.633 0.633 0.823
Al7 0.633 0.823 0.633
Al8 0.804 0.174 0.804
Al9 0.804 0.804 0.174
Al10 0.823 0.633 0.633
Al11 0.973 0.163 0.350
Al12 0.973 0.350 0.163
Te1 0.350 0.350 0.350

Summary:
**Magnetic moment**: 0.00 μB/cell
**Volume**: 593.7 Å³ per cell
**ΔE_f (raw)**: -0.0188 eV per atom

---

[6]
# MgAl4Te

A relaxed MgAl4Te crystal (GGA-PBE, the Alexandria database).

Cell lengths 5.539, 5.539, 5.539 Å; angles 60.00, 60.00, 60.00 degrees
Positions (direct):
Mg1 0.000 0.000 0.000
Al1 0.374 0.374 0.374
Al2 0.374 0.374 0.879
Al3 0.374 0.879 0.374
Al4 0.879 0.374 0.374
Te1 0.750 0.750 0.750

Summary:
**Magnetic moment**: 0.00 μB/cell
**Volume**: 120.1 Å³ per cell
**ΔE_f (raw)**: 0.1129 eV per atom

---

[7]
# Mg3AlTe

A relaxed Mg3AlTe crystal (GGA-PBE, the Alexandria database).

Cell lengths 5.202, 5.202, 5.202 Å; angles 90.00, 90.00, 90.00 degrees
Positions (direct):
Mg1 0.000 0.000 0.500
Mg2 0.000 0.500 0.000
Mg3 0.500 0.000 0.000
Al1 0.000 0.000 0.000
Te1 0.500 0.500 0.500

Summary:
**Magnetic moment**: 0.00 μB/cell
**Volume**: 140.8 Å³ per cell
**ΔE_f (raw)**: 0.1520 eV per atom

---

[8]
# MgAl2Te4

A relaxed MgAl2Te4 crystal (GGA-PBE, the Alexandria database).

Cell lengths 6.024, 6.024, 6.410 Å; angles 90.00, 90.00, 90.00 degrees
Positions (direct):
Mg1 0.000 0.000 0.000
Al1 0.000 0.500 0.500
Al2 0.500 0.000 0.500
Te1 0.271 0.271 0.250
Te2 0.271 0.729 0.750
Te3 0.729 0.271 0.750
Te4 0.729 0.729 0.250

Summary:
**Magnetic moment**: 0.00 μB/cell
**Volume**: 232.6 Å³ per cell
**ΔE_f (raw)**: -0.5590 eV per atom